Below is Li2Mn3CdO6 after structural relaxation, with properties calculated at the PBE with a Hubbard U level.

Summary:
The value obtained for the volume is 126.3 Å³/cell. For the total energy, the calculation gives -6.13 eV/atom. For the calculated density, the calculation gives 5.088 g cm⁻³.

abc: 3.0587 6.2110 7.0406
angles: 104.28 102.55 90.00
Each line ends with the local moment (μB).
Positions (direct):
Li  0.1825  0.3706  0.3651  0.00
Li  0.8175  0.6294  0.6349  0.00
Cd  0.5000  0.0000  0.0000  0.03
O  0.6790  0.0572  0.3580  -0.05
O  0.3293  0.3939  0.6587  -0.01
O  0.0238  0.7488  0.0475  0.03
O  0.3210  0.9428  0.6420  -0.05
O  0.6707  0.6061  0.3413  -0.01
O  0.9762  0.2512  0.9525  0.03
Mn  0.5000  0.5000  0.0000  4.60
Mn  0.8259  0.1709  0.6517  2.07
Mn  0.1741  0.8291  0.3483  2.07